{
  "formula": "Ti3Sb2",
  "functional": "GGA-PBE",
  "state": "optimized geometry",
  "lattice_angstrom": [[3.656, 0.000, 0.000], [-1.828, 8.713, 1.576], [0.000, 0.152, 9.963]],
  "species": ["Ti", "Ti", "Ti", "Ti", "Ti", "Ti", "Ti", "Sb", "Sb", "Sb", "Sb", "Ti", "Sb", "Ti", "Sb"],
  "frac_coords": [[0.809, 0.618, 0.726], [0.488, 0.977, 0.678], [0.788, 0.576, 0.390], [0.207, 0.413, 0.907], [0.191, 0.382, 0.274], [0.212, 0.424, 0.610], [0.500, 0.000, 0.000], [0.624, 0.249, 0.480], [0.634, 0.268, 0.104], [0.931, 0.861, 0.197], [0.366, 0.732, 0.896], [0.512, 0.023, 0.322], [0.376, 0.751, 0.520], [0.793, 0.587, 0.093], [0.069, 0.139, 0.803]],
  "dos_at_fermi_per_ev_cell": 12.15,
  "formation_energy_uncorrected_ev_per_atom": -0.31,
  "sg": "C2/m (12)"
}